! YTl2Ga2 PBE relaxed; values from VASP
! N(E_F) in states/eV/cell: 4.72
! VASP energy in eV/cell: -34.66
! Symmetry: P4/mbm (127)
! Offset from the most stable computed form in meV per atom: 96
! Formation enthalpy at 0 K in eV per atom: -0.02
&SYSTEM
  ibrav = 0, nat = 10, ntyp = 3
/
ATOMIC_SPECIES
Y 88.91 Y.upf
Tl 204.38 Tl.upf
Ga 69.72 Ga.upf
ATOMIC_POSITIONS crystal
Y 0.000 0.000 0.000
Y 0.500 0.500 0.000
Tl 0.368 0.868 0.000
Tl 0.868 0.632 0.000
Tl 0.632 0.132 0.000
Tl 0.132 0.368 0.000
Ga 0.170 0.670 0.500
Ga 0.670 0.830 0.500
Ga 0.830 0.330 0.500
Ga 0.330 0.170 0.500
CELL_PARAMETERS angstrom
-1.806 -6.303 -5.078
-4.318 -3.650 6.067
-3.006 1.741 -1.092


! KVMoCl2 PBE relaxed; values from VASP
! Energy relative to the elements, uncorrected in eV/f.u.: 5.94
! N(E_F) in states/eV/cell: 6.47
! VASP energy in eV/cell: -18.80
! Symmetry: P4/mmm (123)
&SYSTEM
  ibrav = 0, nat = 5, ntyp = 4
/
ATOMIC_SPECIES
Mo 95.94 Mo.upf
Cl 35.45 Cl.upf
K 39.10 K.upf
V 50.94 V.upf
ATOMIC_POSITIONS crystal
Mo 0.000 0.500 0.000
Cl 0.000 0.000 0.500
Cl 0.500 0.000 0.000
K 0.000 0.000 0.000
V 0.500 0.500 0.500
CELL_PARAMETERS angstrom
5.500 0.000 0.000
0.000 5.977 0.000
0.000 0.000 5.500


! SmMgCuSi PBE relaxed; values from VASP
! Energy relative to the elements, uncorrected in eV/f.u.: -1.14
! N(E_F) in states/eV/cell: 1.74
! VASP energy in eV/cell: -16.97
! Symmetry: F-43m (216)
&SYSTEM
  ibrav = 0, nat = 4, ntyp = 4
/
ATOMIC_SPECIES
Mg 24.30 Mg.upf
Si 28.09 Si.upf
Cu 63.55 Cu.upf
Sm 150.36 Sm.upf
ATOMIC_POSITIONS crystal
Mg 0.500 0.500 0.500
Si 0.750 0.750 0.750
Cu 0.250 0.250 0.250
Sm 0.000 0.000 0.000
CELL_PARAMETERS angstrom
-4.491 0.488 1.622
-3.669 0.119 -3.092
-3.054 -3.694 -0.243


! Fe2AsRu PBE relaxed; values from VASP
! N(E_F) in states/eV/cell: 3.69
! VASP energy in eV/cell: -29.60
! Symmetry: Cmmm (65)
! Formation enthalpy at 0 K in eV per atom: 0.31
&SYSTEM
  ibrav = 0, nat = 4, ntyp = 3
/
ATOMIC_SPECIES
As 74.92 As.upf
Fe 55.84 Fe.upf
Ru 101.07 Ru.upf
ATOMIC_POSITIONS crystal
As 0.500 0.500 0.750
Fe 0.000 0.000 0.997
Fe 0.000 0.000 0.503
Ru 0.500 0.500 0.250
CELL_PARAMETERS angstrom
2.729 -0.019 0.000
-0.855 2.592 0.000
0.000 0.000 7.873


! La2ScAg2 PBE relaxed; values from VASP
! N(E_F) in states/eV/cell: 9.33
! VASP energy in eV/cell: -43.47
! Symmetry: P4/mbm (127)
! Offset from the most stable computed form in meV per atom: 185
! Formation enthalpy at 0 K in eV per atom: 0.03
&SYSTEM
  ibrav = 0, nat = 10, ntyp = 3
/
ATOMIC_SPECIES
Sc 44.96 Sc.upf
Ag 107.87 Ag.upf
La 138.91 La.upf
ATOMIC_POSITIONS crystal
Sc 0.000 0.000 0.000
Sc 0.500 0.500 0.000
Ag 0.138 0.638 0.500
Ag 0.638 0.862 0.500
Ag 0.862 0.362 0.500
Ag 0.362 0.138 0.500
La 0.341 0.841 0.000
La 0.841 0.659 0.000
La 0.659 0.159 0.000
La 0.159 0.341 0.000
CELL_PARAMETERS angstrom
8.792 0.000 0.000
0.000 8.792 0.000
0.000 0.000 3.608


! Pr2Sm7Dy4 PBE relaxed; values from VASP
! N(E_F) in states/eV/cell: 18.77
! VASP energy in eV/cell: -59.06
! Symmetry: P-1 (2)
! Formation enthalpy at 0 K in eV per atom: 0.15
&SYSTEM
  ibrav = 0, nat = 13, ntyp = 3
/
ATOMIC_SPECIES
Pr 140.91 Pr.upf
Sm 150.36 Sm.upf
Dy 162.50 Dy.upf
ATOMIC_POSITIONS crystal
Pr 0.636 0.239 0.933
Pr 0.364 0.761 0.067
Sm 0.115 0.660 0.773
Sm 0.885 0.340 0.227
Sm 0.000 0.000 0.000
Sm 0.678 0.064 0.638
Sm 0.322 0.936 0.362
Sm 0.458 0.421 0.208
Sm 0.542 0.579 0.792
Dy 0.158 0.057 0.646
Dy 0.842 0.943 0.354
Dy 0.741 0.498 0.505
Dy 0.259 0.502 0.495
CELL_PARAMETERS angstrom
6.911 -0.866 -0.002
-4.119 6.460 -0.189
0.169 -0.472 10.796


VASP energy of number 1 (YTl2Ga2)?
-34.66 eV/cell


Please write out number 2 again, unchanged.
! KVMoCl2 PBE relaxed; values from VASP
! Energy relative to the elements, uncorrected in eV/f.u.: 5.94
! N(E_F) in states/eV/cell: 6.47
! VASP energy in eV/cell: -18.80
! Symmetry: P4/mmm (123)
&SYSTEM
  ibrav = 0, nat = 5, ntyp = 4
/
ATOMIC_SPECIES
Mo 95.94 Mo.upf
Cl 35.45 Cl.upf
K 39.10 K.upf
V 50.94 V.upf
ATOMIC_POSITIONS crystal
Mo 0.000 0.500 0.000
Cl 0.000 0.000 0.500
Cl 0.500 0.000 0.000
K 0.000 0.000 0.000
V 0.500 0.500 0.500
CELL_PARAMETERS angstrom
5.500 0.000 0.000
0.000 5.977 0.000
0.000 0.000 5.500


Which of these has the lowest VASP energy?
Pr2Sm7Dy4


What did the fifth record say?
! La2ScAg2 PBE relaxed; values from VASP
! N(E_F) in states/eV/cell: 9.33
! VASP energy in eV/cell: -43.47
! Symmetry: P4/mbm (127)
! Offset from the most stable computed form in meV per atom: 185
! Formation enthalpy at 0 K in eV per atom: 0.03
&SYSTEM
  ibrav = 0, nat = 10, ntyp = 3
/
ATOMIC_SPECIES
Sc 44.96 Sc.upf
Ag 107.87 Ag.upf
La 138.91 La.upf
ATOMIC_POSITIONS crystal
Sc 0.000 0.000 0.000
Sc 0.500 0.500 0.000
Ag 0.138 0.638 0.500
Ag 0.638 0.862 0.500
Ag 0.862 0.362 0.500
Ag 0.362 0.138 0.500
La 0.341 0.841 0.000
La 0.841 0.659 0.000
La 0.659 0.159 0.000
La 0.159 0.341 0.000
CELL_PARAMETERS angstrom
8.792 0.000 0.000
0.000 8.792 0.000
0.000 0.000 3.608